(1)
Computed, not measured: crystalline CrHgPb at its relaxed geometry at the PBE level of DFT.

Summary:
ΔE_f in eV per atom: 0.455
Density of states at the Fermi level in states/eV/cell: 7.0

Cell: 6.6873 6.6873 6.6873 Å, 90.00 90.00 90.00°
Space group F-43m (No. 216)
One atom of each set of equivalent atoms:
Cr: 0.0000 0.0000 0.0000 (multiplicity 4)
Hg: 0.2500 0.2500 0.2500 (multiplicity 4)
Pb: 0.2500 0.2500 0.7500 (multiplicity 4)

=====

(2)
Computed, not measured: crystalline Ce3HoPa2N6 at its relaxed geometry at the PBE level of DFT.

Summary:
Raw formation energy in kcal/mol of atoms: -37.4
Density of states at the Fermi level in states/eV/cell: 21.5

Cell: 6.0934 10.5524 6.1448 Å, 90.00 109.32 90.00°
Space group C2/m (No. 12)
One atom of each set of equivalent atoms:
Ce: 0.0000 0.0000 0.0000 (multiplicity 2)
Ce: 0.0000 0.3344 0.0000 (multiplicity 4)
Ho: 0.0000 0.5000 0.5000 (multiplicity 2)
Pa: 0.0000 0.1668 0.5000 (multiplicity 4)
N: 0.2348 0.0000 0.7266 (multiplicity 4)
N: 0.2460 0.3295 0.7263 (multiplicity 8)

=====

(3)
Computed, not measured: crystalline Sr3In2P2Pd4 at its relaxed geometry at the PBE level of DFT.

Summary:
ΔE_f in eV per atom: -0.714
Density of states at the Fermi level in states/eV/cell: 6.2

Cell: 4.2959 4.2959 16.5574 Å, 90.00 90.00 120.00°
Space group P-3m1 (No. 164)
One atom of each set of equivalent atoms:
Sr: 0.0000 0.0000 0.0000 (multiplicity 1)
Sr: 0.0000 0.0000 0.2539 (multiplicity 2)
In: 0.3333 0.6667 0.5606 (multiplicity 2)
P: 0.3333 0.6667 0.1335 (multiplicity 2)
Pd: 0.3333 0.6667 0.3867 (multiplicity 2)
Pd: 0.3333 0.6667 0.8710 (multiplicity 2)

=====

(4)
Computed, not measured: crystalline Hf2ZnH2 at its relaxed geometry at the PBE level of DFT.

Summary:
Raw total energy in eV/atom: -5.858
Density of states at the Fermi level in states/eV/cell: 6.4

Cell: 5.5476 8.9865 5.6632 Å, 90.00 116.34 90.00°
Space group C2/c (No. 15)
One atom of each set of equivalent atoms:
Hf: 0.0000 0.0819 0.2500 (multiplicity 4)
Hf: 0.0000 0.2766 0.7500 (multiplicity 4)
Zn: 0.0000 0.3929 0.2500 (multiplicity 4)
H: 0.1524 0.1033 0.9910 (multiplicity 8)

=====

(5)
Computed, not measured: crystalline BeTc4Hg at its relaxed geometry at the PBE level of DFT.

Summary:
ΔE_f in eV per atom: 0.691
Density of states at the Fermi level in states/eV/cell: 23.6

Cell: 7.2804 7.2804 7.2804 Å, 90.00 90.00 90.00°
Space group F-43m (No. 216)
One atom of each set of equivalent atoms:
Be: 0.0000 0.0000 0.0000 (multiplicity 4)
Tc: 0.1252 0.1252 0.3748 (multiplicity 16)
Hg: 0.2500 0.2500 0.7500 (multiplicity 4)

=====

(6)
Computed, not measured: crystalline AlRuSe at its relaxed geometry at the PBE level of DFT.

Summary:
Raw formation energy in kcal/mol of atoms: -3.4
Density of states at the Fermi level in states/eV/cell: 2.7

Cell: 3.1559 3.1559 5.6860 Å, 90.00 90.00 120.00°
Space group P3m1 (No. 156)
One atom of each set of equivalent atoms:
Al: 0.0000 0.0000 0.0000 (multiplicity 1)
Ru: 0.6667 0.3333 0.3173 (multiplicity 1)
Se: 0.3333 0.6667 0.6283 (multiplicity 1)